# VO3F (GGA+U, optimized geometry)
data_VO3F
_cell_length_a 3.6584
_cell_length_b 3.6584
_cell_length_c 3.6584
_cell_angle_alpha 90.00
_cell_angle_beta 90.00
_cell_angle_gamma 90.00
_symmetry_space_group_name_H-M 'P m -3 m'
_symmetry_Int_Tables_number 221
_symmetry_space_group_name_Hall '-P 4 2 3'
loop_
_atom_site_label
_atom_site_fract_x
_atom_site_fract_y
_atom_site_fract_z
V1 0.0000 0.0000 0.0000
O1 0.0000 0.5000 0.5000
F1 0.5000 0.5000 0.5000
# Energy ... -4.18 eV/atom